[1]
Computed, not measured: a relaxed structure of K2VCdCu at the GGA-PBE level of DFT.

## Properties
Crystal system = tetragonal
Space group = P4/mmm, No. 123
Energy = -11.03 eV/cell

Lattice parameters (Å, degrees): 6.459 5.400 6.459 90.00 90.00 90.00
Positions (direct):
K: 0.500 0.000 0.000
K: 0.000 0.000 0.500
V: 0.000 0.000 0.000
Cd: 0.000 0.500 0.000
Cu: 0.500 0.500 0.500



[2]
Computed, not measured: a relaxed structure of BaCaGa2Au5 at the GGA-PBE level of DFT.

## Properties
Crystal system = tetragonal
Space group = P4/mmm, No. 123
Energy = -30.83 eV/cell

Lattice parameters (Å, degrees): 5.123 5.123 8.168 90.00 90.00 90.00
Positions (direct):
Ba: 0.000 0.000 0.500
Ca: 0.000 0.000 0.000
Ga: 0.500 0.500 0.170
Au: 0.500 0.000 0.787
Ga: 0.500 0.500 0.830
Au: 0.500 0.000 0.213
Au: 0.000 0.500 0.787
Au: 0.500 0.500 0.500
Au: 0.000 0.500 0.213



no.,total magnetization (μB/cell)
1,4.97
2,0.00